Version 1
DFT (PBE) results for a geometry-optimized RbSc2H structure.

Cell and atoms, written as POSCAR:
```
RbSc2H
1.0
1.754 1.013 10.551
-1.754 1.013 10.551
0.000 -2.026 10.551
Rb Sc H
1 2 1
Cartesian
0.000 0.000 0.000 Rb
0.000 0.000 14.027 Sc
0.000 0.000 17.627 Sc
0.000 0.000 15.827 H
```

Its space-group type is R-3m, No. 166.



Version 2
DFT (PBE) results for a geometry-optimized RbSc2H structure.

Cell and atoms, written as POSCAR:
```
RbSc2H
1.0
0.000 3.645 3.645
3.645 0.000 3.645
3.645 3.645 0.000
Rb Sc H
1 2 1
Cartesian
0.000 0.000 0.000 Rb
1.823 1.823 1.823 Sc
5.468 5.468 5.468 Sc
3.645 3.645 3.645 H
```

Its space-group type is Fm-3m, No. 225.



Q: Which of them is the least stable? A: version 2.



Version 1
DFT (PBE) results for a geometry-optimized Rb2HSe2 structure.

Cell and atoms, written as POSCAR:
```
Rb2HSe2
1.0
-3.429 3.429 3.383
3.429 -3.429 3.383
3.429 3.429 -3.383
Rb H Se
2 1 2
Cartesian
3.429 0.000 1.691 Rb
0.000 3.429 1.691 Rb
0.000 0.000 0.000 H
0.000 0.000 1.778 Se
0.000 0.000 4.987 Se
```

Its space-group type is I4/mmm, No. 139.



Version 2
DFT (PBE) results for a geometry-optimized Rb2HSe2 structure.

Cell and atoms, written as POSCAR:
```
Rb2HSe2
1.0
3.313 -4.550 0.000
3.313 4.550 0.000
0.000 0.000 4.553
Rb H Se
2 1 2
Cartesian
3.313 2.292 0.000 Rb
3.313 -2.292 0.000 Rb
0.000 0.000 2.276 H
1.764 0.000 2.276 Se
4.862 0.000 2.276 Se
```

Its space-group type is Cmmm, No. 65.



Q: Which of them is the least stable? A: version 1.



Version 1
DFT (PBE) results for a geometry-optimized Rb2SiH6 structure.

Cell and atoms, written as POSCAR:
```
Rb2SiH6
1.0
4.801 -2.775 0.000
4.801 2.775 0.000
-0.010 0.000 4.636
Rb Si H
2 1 6
Cartesian
1.599 0.000 1.270 Rb
7.994 0.000 3.366 Rb
4.801 0.000 0.000 Si
4.136 1.152 0.917 H
3.461 0.000 3.719 H
5.456 1.152 3.718 H
4.136 -1.152 0.917 H
6.132 0.000 0.917 H
5.456 -1.152 3.718 H
```

Its space-group type is C2/m, No. 12.



Version 2
DFT (PBE) results for a geometry-optimized Rb2SiH6 structure.

Cell and atoms, written as POSCAR:
```
Rb2SiH6
1.0
5.262 0.000 0.000
0.000 5.262 0.000
0.000 0.000 10.772
Rb Si H
4 2 12
Cartesian
0.000 0.000 1.773 Rb
0.000 0.000 8.999 Rb
2.631 2.631 3.613 Rb
2.631 2.631 7.159 Rb
0.000 0.000 5.386 Si
2.631 2.631 0.000 Si
0.800 0.800 4.234 H
0.800 0.800 6.538 H
1.134 4.128 5.386 H
1.497 1.497 0.000 H
1.831 3.432 1.152 H
1.831 3.432 9.620 H
3.432 1.831 1.152 H
3.432 1.831 9.620 H
3.765 3.765 0.000 H
4.128 1.134 5.386 H
4.462 4.462 4.234 H
4.462 4.462 6.538 H
```

Its space-group type is P4_2/mnm, No. 136.



Q: Which of them is the least stable? A: version 2.



Version 1
DFT (PBE) results for a geometry-optimized RbSnH structure.

Cell and atoms, written as POSCAR:
```
RbSnH
1.0
-1.661 1.661 7.298
1.661 -1.661 7.298
1.661 1.661 -7.298
Rb Sn H
1 1 1
Cartesian
0.000 0.000 0.000 Rb
0.000 0.000 3.734 Sn
0.000 0.000 8.517 H
```

Its space-group type is I4mm, No. 107.



Version 2
DFT (PBE) results for a geometry-optimized RbSnH structure.

Cell and atoms, written as POSCAR:
```
RbSnH
1.0
5.711 0.000 0.000
0.000 4.704 0.000
-2.829 0.000 6.880
Rb Sn H
2 2 2
Cartesian
0.104 0.000 1.984 Rb
2.778 2.352 4.896 Rb
-0.036 4.700 5.937 Sn
2.918 2.349 0.943 Sn
-1.860 0.009 6.042 H
4.742 2.361 0.838 H
```

Its space-group type is P2_1, No. 4.



Version 3
DFT (PBE) results for a geometry-optimized RbSnH structure.

Cell and atoms, written as POSCAR:
```
RbSnH
1.0
6.681 0.000 0.000
0.000 3.760 0.000
-1.816 0.000 6.531
Rb Sn H
2 2 2
Cartesian
0.931 0.000 1.979 Rb
3.935 0.000 4.553 Rb
0.460 1.880 5.521 Sn
4.406 1.880 1.011 Sn
1.668 1.880 4.153 H
3.198 1.880 2.378 H
```

Its space-group type is P2/m, No. 10.



Q: Which of them is the least stable? A: version 1.



Version 1
DFT (PBE) results for a geometry-optimized RbSnH2 structure.

Cell and atoms, written as POSCAR:
```
RbSnH2
1.0
0.000 3.367 3.367
3.367 0.000 3.367
3.367 3.367 0.000
Rb Sn H
1 1 2
Cartesian
0.000 0.000 0.000 Rb
3.367 3.367 3.367 Sn
1.684 1.684 1.684 H
5.051 5.051 5.051 H
```

Its space-group type is Fm-3m, No. 225.



Version 2
DFT (PBE) results for a geometry-optimized RbSnH2 structure.

Cell and atoms, written as POSCAR:
```
RbSnH2
1.0
-2.694 2.694 6.167
2.694 -2.694 6.167
2.694 2.694 -6.167
Rb Sn H
2 2 4
Cartesian
0.000 0.000 0.000 Rb
0.000 2.694 3.083 Rb
2.694 0.000 3.083 Sn
0.000 0.000 6.167 Sn
1.347 -0.555 4.625 H
2.138 1.347 1.542 H
1.347 3.249 -1.542 H
0.555 1.347 7.708 H
```

Its space-group type is I-42d, No. 122.



Version 3
DFT (PBE) results for a geometry-optimized RbSnH2 structure.

Cell and atoms, written as POSCAR:
```
RbSnH2
1.0
4.692 0.000 0.000
0.024 6.263 0.000
0.045 1.681 6.280
Rb Sn H
2 2 4
Cartesian
0.000 0.000 0.000 Rb
0.058 3.547 2.638 Rb
2.400 4.672 5.514 Sn
2.413 6.822 3.413 Sn
0.600 4.811 5.885 H
0.619 6.684 3.022 H
2.671 4.172 0.568 H
2.745 5.634 2.093 H
```

Its space-group type is P1, No. 1.



Q: Which of them is the least stable? A: version 1.



Version 1
DFT (PBE) results for a geometry-optimized RbSn2H structure.

Cell and atoms, written as POSCAR:
```
RbSn2H
1.0
-3.456 3.456 5.020
3.456 -3.456 5.020
3.456 3.456 -5.020
Rb Sn H
2 4 2
Cartesian
0.000 0.000 0.000 Rb
0.000 3.456 2.510 Rb
1.728 -0.006 3.765 Sn
3.450 1.728 1.255 Sn
1.728 3.461 -1.255 Sn
0.006 1.728 6.276 Sn
3.456 0.000 2.510 H
0.000 0.000 5.020 H
```

Its space-group type is I-42d, No. 122.



Version 2
DFT (PBE) results for a geometry-optimized RbSn2H structure.

Cell and atoms, written as POSCAR:
```
RbSn2H
1.0
0.000 3.833 3.833
3.833 0.000 3.833
3.833 3.833 0.000
Rb Sn H
1 2 1
Cartesian
0.000 0.000 0.000 Rb
1.916 1.916 1.916 Sn
5.749 5.749 5.749 Sn
3.833 3.833 3.833 H
```

Its space-group type is Fm-3m, No. 225.



Q: Which of them is the least stable? A: version 2.



Version 1
DFT (PBE) results for a geometry-optimized RbSrH structure.

Cell and atoms, written as POSCAR:
```
RbSrH
1.0
4.155 0.000 0.000
-2.077 3.598 0.000
0.000 0.000 7.281
Rb Sr H
1 1 1
Cartesian
0.000 0.000 0.000 Rb
0.000 2.399 3.434 Sr
2.077 1.199 2.113 H
```

Its space-group type is P3m1, No. 156.



Version 2
DFT (PBE) results for a geometry-optimized RbSrH structure.

Cell and atoms, written as POSCAR:
```
RbSrH
1.0
4.173 0.000 0.000
-2.086 3.614 0.000
0.000 0.000 15.779
Rb Sr H
2 2 2
Cartesian
0.000 2.409 2.105 Rb
2.086 1.205 13.674 Rb
0.000 2.409 6.139 Sr
2.086 1.205 9.639 Sr
0.000 2.409 10.695 H
2.086 1.205 5.084 H
```

Its space-group type is P-3m1, No. 164.



Q: Which of them is the least stable? A: version 2.



Version 1
DFT (PBE) results for a geometry-optimized RbSr2TlH structure.

Cell and atoms, written as POSCAR:
```
RbSr2TlH
1.0
5.528 0.000 0.000
0.000 5.528 0.000
0.000 0.000 5.478
Rb Sr Tl H
1 2 1 1
Cartesian
0.000 0.000 0.000 Rb
0.000 2.764 2.739 Sr
2.764 0.000 2.739 Sr
2.764 2.764 0.000 Tl
0.000 0.000 2.739 H
```

Its space-group type is P4/mmm, No. 123.



Version 2
DFT (PBE) results for a geometry-optimized RbSr2TlH structure.

Cell and atoms, written as POSCAR:
```
RbSr2TlH
1.0
6.926 0.000 0.000
0.000 6.926 0.000
0.000 0.000 4.451
Rb Sr Tl H
1 2 1 1
Cartesian
0.000 0.000 0.000 Rb
0.000 3.463 0.000 Sr
3.463 0.000 0.000 Sr
3.463 3.463 2.225 Tl
0.000 0.000 2.225 H
```

Its space-group type is P4/mmm, No. 123.



Q: Which of them is the least stable? A: version 2.



Version 1
DFT (PBE) results for a geometry-optimized RbTa2H structure.

Cell and atoms, written as POSCAR:
```
RbTa2H
1.0
0.000 3.320 3.320
3.320 0.000 3.320
3.320 3.320 0.000
Rb Ta H
1 2 1
Cartesian
0.000 0.000 0.000 Rb
1.660 1.660 1.660 Ta
4.979 4.979 4.979 Ta
3.320 3.320 3.320 H
```

Its space-group type is Fm-3m, No. 225.



Version 2
DFT (PBE) results for a geometry-optimized RbTa2H structure.

Cell and atoms, written as POSCAR:
```
RbTa2H
1.0
0.000 4.364 4.364
4.364 0.000 4.364
4.364 4.364 0.000
Rb Ta H
2 4 2
Cartesian
1.091 1.091 1.091 Rb
7.638 7.638 7.638 Rb
4.364 2.182 2.182 Ta
2.182 4.364 2.182 Ta
2.182 2.182 4.364 Ta
4.364 4.364 4.364 Ta
3.273 3.273 3.273 H
5.456 5.456 5.456 H
```

Its space-group type is Fd-3m, No. 227.



Q: Which of them is the least stable? A: version 1.



Version 1
DFT (PBE) results for a geometry-optimized RbTa3H structure.

Cell and atoms, written as POSCAR:
```
RbTa3H
1.0
4.833 0.000 0.000
0.000 4.833 0.000
0.000 0.000 4.833
Rb Ta H
1 3 1
Cartesian
0.000 0.000 0.000 Rb
0.000 0.000 2.416 Ta
0.000 2.416 0.000 Ta
2.416 0.000 0.000 Ta
2.416 2.416 2.416 H
```

Its space-group type is Pm-3m, No. 221.



Version 2
DFT (PBE) results for a geometry-optimized RbTa3H structure.

Cell and atoms, written as POSCAR:
```
RbTa3H
1.0
4.448 0.000 0.000
0.000 4.448 0.000
0.000 0.000 4.448
Rb Ta H
1 3 1
Cartesian
0.000 0.000 0.000 Rb
0.000 2.224 2.224 Ta
2.224 0.000 2.224 Ta
2.224 2.224 0.000 Ta
2.224 2.224 2.224 H
```

Its space-group type is Pm-3m, No. 221.



Q: Which of them is the least stable? A: version 1.



Version 1
DFT (PBE) results for a geometry-optimized RbTaH3 structure.

Cell and atoms, written as POSCAR:
```
RbTaH3
1.0
4.087 0.000 0.000
0.000 4.087 0.000
0.000 0.000 4.087
Rb Ta H
1 1 3
Cartesian
0.000 0.000 0.000 Rb
2.043 2.043 2.043 Ta
0.000 2.043 2.043 H
2.043 0.000 2.043 H
2.043 2.043 0.000 H
```

Its space-group type is Pm-3m, No. 221.



Version 2
DFT (PBE) results for a geometry-optimized RbTaH3 structure.

Cell and atoms, written as POSCAR:
```
RbTaH3
1.0
4.267 0.000 0.000
0.000 4.267 0.000
0.000 0.000 4.267
Rb Ta H
1 1 3
Cartesian
0.000 0.000 0.000 Rb
2.134 2.134 2.134 Ta
0.000 0.000 2.134 H
0.000 2.134 0.000 H
2.134 0.000 0.000 H
```

Its space-group type is Pm-3m, No. 221.



Q: Which of them is the least stable? A: version 2.



Version 1
DFT (PBE) results for a geometry-optimized RbTcH2 structure.

Cell and atoms, written as POSCAR:
```
RbTcH2
1.0
-2.839 2.839 3.882
2.839 -2.839 3.882
2.839 2.839 -3.882
Rb Tc H
2 2 4
Cartesian
0.000 0.000 0.000 Rb
0.000 2.839 1.941 Rb
2.839 0.000 1.941 Tc
0.000 0.000 3.882 Tc
1.420 -0.540 2.912 H
2.300 1.420 0.971 H
1.420 3.379 -0.971 H
0.540 1.420 4.853 H
```

Its space-group type is I-42d, No. 122.



Version 2
DFT (PBE) results for a geometry-optimized RbTcH2 structure.

Cell and atoms, written as POSCAR:
```
RbTcH2
1.0
0.000 3.292 3.292
3.292 0.000 3.292
3.292 3.292 0.000
Rb Tc H
1 1 2
Cartesian
0.000 0.000 0.000 Rb
3.292 3.292 3.292 Tc
1.646 1.646 1.646 H
4.937 4.937 4.937 H
```

Its space-group type is Fm-3m, No. 225.



Q: Which of them is the least stable? A: version 2.